Record 1
Entry from Alexandria: crystalline NaScI2 at its relaxed geometry (PBE).

Cell: 5.434 5.434 5.434 Å, 60.00 60.00 60.00°
Site moments in Bohr magnetons follow the coordinates.
Positions (direct):
Na (0.000, 0.000, 0.000)  0.02
Sc (0.500, 0.500, 0.500)  1.09
I (0.250, 0.250, 0.250)  -0.02
I (0.750, 0.750, 0.750)  -0.02

V ... 113.5 Å³ per cell
Energy relative to the elements, uncorrected ... -2.3 eV/f.u.
Energy above the most stable polymorph in this dataset ... 0.2090 eV/atom
E_tot ... -13.0 eV/cell
Density of states at the Fermi level ... 0.71 states/eV per atom

=====

Record 2
Entry from Alexandria: crystalline NaScI2 at its relaxed geometry (PBE).

Cell: 8.196 8.196 7.167 Å, 55.13 55.13 90.00°
Site moments in Bohr magnetons follow the coordinates.
Positions (direct):
Na (0.250, 0.750, 0.500)  0.02
Na (0.500, 0.500, 0.000)  0.02
I (0.646, 0.125, 0.250)  0.01
I (0.375, 0.354, 0.750)  0.01
I (0.875, 0.896, 0.750)  0.01
I (0.104, 0.625, 0.250)  0.01
Sc (0.750, 0.250, 0.500)  1.05
Sc (0.000, 0.000, 0.000)  1.06

V ... 283.3 Å³ per cell
Energy relative to the elements, uncorrected ... -2.3 eV/f.u.
Energy above the most stable polymorph in this dataset ... 0.1992 eV/atom
E_tot ... -26.1 eV/cell
Density of states at the Fermi level ... 0.79 states/eV per atom

=====

Record 3
Entry from Alexandria: crystalline Na3ScI at its relaxed geometry (PBE).

Cell: 5.983 5.983 5.983 Å, 90.00 90.00 90.00°
Site moments in Bohr magnetons follow the coordinates.
Positions (direct):
Na (0.000, 0.500, 0.000)  0.01
Na (0.500, 0.000, 0.000)  0.01
Na (0.000, 0.000, 0.500)  0.01
I (0.000, 0.000, 0.000)  0.02
Sc (0.500, 0.500, 0.500)  0.83

V ... 214.2 Å³ per cell
Energy relative to the elements, uncorrected ... 1.0 eV/f.u.
Energy above the most stable polymorph in this dataset ... 0.0000 eV/atom
E_tot ... -10.8 eV/cell
Density of states at the Fermi level ... 1.55 states/eV per atom

=====

Record 4
Entry from Alexandria: crystalline Na3ScI at its relaxed geometry (PBE).

Cell: 6.436 6.436 6.436 Å, 90.00 90.00 90.00°
Site moments in Bohr magnetons follow the coordinates.
Positions (direct):
Na (0.000, 0.500, 0.000)  0.05
Na (0.500, 0.000, 0.000)  0.07
Na (0.000, 0.000, 0.500)  0.04
I (0.500, 0.500, 0.500)  0.04
Sc (0.000, 0.000, 0.000)  1.15

V ... 266.5 Å³ per cell
Energy relative to the elements, uncorrected ... 2.6 eV/f.u.
Energy above the most stable polymorph in this dataset ... 0.3099 eV/atom
E_tot ... -9.3 eV/cell
Density of states at the Fermi level ... 0.51 states/eV per atom

=====

Record 5
Entry from Alexandria: crystalline Na3ScI6 at its relaxed geometry (PBE).

Cell: 8.322 8.320 8.323 Å, 122.41 122.39 57.57°
Positions (direct):
I (0.632, 0.900, 0.774)
I (0.900, 0.226, 0.368)
I (0.226, 0.632, 0.100)
I (0.368, 0.100, 0.226)
I (0.774, 0.368, 0.900)
I (0.100, 0.774, 0.632)
Na (0.500, 0.500, 0.500)
Na (0.809, 0.809, 0.192)
Na (0.191, 0.191, 0.808)
Sc (0.000, 0.000, 0.000)

V ... 384.8 Å³ per cell
Energy relative to the elements, uncorrected ... -12.2 eV/f.u.
Energy above the most stable polymorph in this dataset ... 0.0000 eV/atom
E_tot ... -31.8 eV/cell
Density of states at the Fermi level ... 0.00 states/eV per atom

=====

Record 6
Entry from Alexandria: crystalline Na2Sc2I7 at its relaxed geometry (PBE).

Cell: 7.854 8.434 8.434 Å, 114.82 92.55 92.55°
Site moments in Bohr magnetons follow the coordinates.
Positions (direct):
Sc (0.107, 0.700, 0.700)  0.39
Sc (0.893, 0.300, 0.300)  0.39
Na (0.500, 0.714, 0.286)  0.00
Na (0.500, 0.286, 0.714)  0.00
I (0.244, 0.408, 0.408)  -0.01
I (0.259, 0.572, 0.931)  0.00
I (0.259, 0.931, 0.572)  0.00
I (0.741, 0.428, 0.069)  0.00
I (0.756, 0.592, 0.592)  -0.01
I (0.741, 0.069, 0.428)  0.00
I (0.000, 0.000, 0.000)  0.00

V ... 505.3 Å³ per cell
Energy relative to the elements, uncorrected ... -12.4 eV/f.u.
E_tot ... -38.5 eV/cell
Density of states at the Fermi level ... 0.14 states/eV per atom

=====

| no. | total magnetic moment (Bohr magnetons per cell) |
| --- | --- |
| 1 | 1.86 |
| 2 | 3.85 |
| 3 | 1.69 |
| 4 | 2.75 |
| 5 | 0.00 |
| 6 | 1.03 |